Below is a relaxed structure of VGaAs2F, with properties calculated at the PBE+U level.

Properties
total moment	1.0	μB/f.u.
calculated total energy	-20.9	eV per cell
SG	P4/mmm, No. 123

Lattice parameters (Å, degrees): 5.0075 5.0075 3.8295 90.00 90.00 90.00
Closest atoms and distances in Å follow each position.
Positions (direct):
V  0.0000  0.0000  0.0000  8 As 3.15
Ga  0.5000  0.5000  0.5000  2 F 1.91
As  0.0000  0.5000  0.5000  2 Ga 2.50
As  0.5000  0.0000  0.5000  2 Ga 2.50
F  0.5000  0.5000  0.0000  2 Ga 1.91